1.
DFT (PBE) results for a relaxed Sb3Te crystal.

Output
Energy relative to the elements, uncorrected   0.300 eV per atom
Total magnetic moment   0.000 μB per cell
Raw total energy   -57.2 eV per cell

Unit cell a=6.922 b=6.922 c=10.994 alpha=90.00 beta=90.00 gamma=120.00
Sites, in units of the cell vectors:
Sb  0.187  0.813  0.750
Sb  0.627  0.813  0.750
Sb  0.187  0.373  0.750
Sb  0.373  0.187  0.250
Sb  0.000  0.500  0.500
Sb  0.500  0.000  0.500
Sb  0.500  0.500  0.000
Sb  0.000  0.500  0.000
Sb  0.813  0.187  0.250
Sb  0.813  0.627  0.250
Sb  0.500  0.500  0.500
Sb  0.500  0.000  0.000
Te  0.333  0.667  0.250
Te  0.667  0.333  0.750
Te  0.000  0.000  0.500
Te  0.000  0.000  0.000



2.
DFT (PBE) results for a relaxed Sb3Te crystal.

Output
Energy relative to the elements, uncorrected   0.126 eV per atom
Total magnetic moment   0.000 μB per cell
Raw total energy   -15.0 eV per cell

Unit cell a=5.855 b=5.855 c=5.855 alpha=137.98 beta=104.59 gamma=90.30
Sites, in units of the cell vectors:
Te  0.669  0.000  0.669
Sb  0.228  0.233  0.995
Sb  0.763  0.767  0.995
Sb  0.173  0.500  0.673



3.
DFT (PBE) results for a relaxed Sb3Te crystal.

Output
Energy relative to the elements, uncorrected   0.021 eV per atom
Total magnetic moment   0.000 μB per cell
Raw total energy   -15.4 eV per cell

Unit cell a=7.885 b=7.885 c=7.885 alpha=32.13 beta=32.13 gamma=32.13
Sites, in units of the cell vectors:
Sb  0.500  0.500  0.500
Sb  0.753  0.753  0.753
Te  0.000  0.000  0.000
Sb  0.247  0.247  0.247



4.
DFT (PBE) results for a relaxed Sb4Te crystal.

Output
Energy relative to the elements, uncorrected   0.905 eV per atom
Total magnetic moment   0.000 μB per cell
Raw total energy   -15.1 eV per cell

Unit cell a=5.690 b=5.690 c=5.690 alpha=90.00 beta=90.00 gamma=90.00
Sites, in units of the cell vectors:
Sb  0.000  0.500  0.500
Sb  0.500  0.500  0.000
Te  0.500  0.500  0.500
Sb  0.500  0.000  0.500
Sb  0.000  0.000  0.000



5.
DFT (PBE) results for a relaxed SbTe5 crystal.

Output
Energy relative to the elements, uncorrected   0.274 eV per atom
Total magnetic moment   0.000 μB per cell
Raw total energy   -18.2 eV per cell

Unit cell a=3.873 b=3.873 c=11.397 alpha=90.00 beta=90.00 gamma=90.00
Sites, in units of the cell vectors:
Sb  0.500  0.500  0.000
Te  0.000  0.000  0.500
Te  0.500  0.500  0.662
Te  0.500  0.500  0.338
Te  0.000  0.000  0.842
Te  0.000  0.000  0.158



6.
DFT (PBE) results for a relaxed SbTe2 crystal.

Output
Energy relative to the elements, uncorrected   0.095 eV per atom
Total magnetic moment   0.000 μB per cell
Raw total energy   -20.2 eV per cell

Unit cell a=12.078 b=12.078 c=4.071 alpha=90.00 beta=90.00 gamma=159.98
Sites, in units of the cell vectors:
Te  0.542  0.458  0.250
Sb  0.784  0.216  0.750
Te  0.458  0.542  0.750
Te  0.129  0.871  0.750
Te  0.871  0.129  0.250
Sb  0.216  0.784  0.250



7.
DFT (PBE) results for a relaxed SbTe2 crystal.

Output
Energy relative to the elements, uncorrected   -0.027 eV per atom
Total magnetic moment   0.000 μB per cell
Raw total energy   -21.0 eV per cell

Unit cell a=4.180 b=4.180 c=12.288 alpha=89.89 beta=89.89 gamma=65.09
Sites, in units of the cell vectors:
Te  0.148  0.148  0.852
Sb  0.000  0.000  0.500
Te  0.646  0.646  0.648
Te  0.354  0.354  0.352
Sb  0.500  0.500  0.000
Te  0.852  0.852  0.148



8.
DFT (PBE) results for a relaxed Sb4Te5 crystal.

Output
Energy relative to the elements, uncorrected   0.111 eV per atom
Total magnetic moment   0.000 μB per cell
Raw total energy   -62.4 eV per cell

Unit cell a=9.030 b=9.030 c=7.834 alpha=90.00 beta=90.00 gamma=120.00
Sites, in units of the cell vectors:
Te  0.333  0.667  0.000
Sb  0.405  0.000  0.250
Sb  0.405  0.405  0.750
Te  0.744  0.000  0.250
Sb  0.595  0.595  0.250
Sb  0.000  0.000  0.500
Te  0.744  0.744  0.750
Te  0.667  0.333  0.500
Sb  0.595  0.000  0.750
Te  0.256  0.000  0.750
Te  0.000  0.744  0.250
Te  0.256  0.256  0.250
Sb  0.000  0.405  0.250
Sb  0.000  0.000  0.000
Te  0.000  0.256  0.750
Te  0.333  0.667  0.500
Sb  0.000  0.595  0.750
Te  0.667  0.333  0.000



9.
DFT (PBE) results for a relaxed Sb5Te crystal.

Output
Energy relative to the elements, uncorrected   0.332 eV per atom
Total magnetic moment   0.000 μB per cell
Raw total energy   -21.8 eV per cell

Unit cell a=6.100 b=6.100 c=5.589 alpha=90.00 beta=90.00 gamma=120.00
Sites, in units of the cell vectors:
Sb  0.333  0.667  0.000
Sb  0.500  0.000  0.500
Sb  0.667  0.333  0.000
Sb  0.000  0.500  0.500
Te  0.000  0.000  0.000
Sb  0.500  0.500  0.500



10.
DFT (PBE) results for a relaxed Sb5Te crystal.

Output
Energy relative to the elements, uncorrected   0.224 eV per atom
Total magnetic moment   0.000 μB per cell
Raw total energy   -22.4 eV per cell

Unit cell a=6.268 b=6.268 c=5.335 alpha=90.00 beta=90.00 gamma=128.12
Sites, in units of the cell vectors:
Sb  0.000  0.000  0.500
Sb  0.661  0.339  0.500
Sb  0.339  0.661  0.500
Te  0.500  0.500  0.000
Sb  0.178  0.822  0.000
Sb  0.822  0.178  0.000



11.
DFT (PBE) results for a relaxed Th5Sb2Te5 crystal.

Output
Energy relative to the elements, uncorrected   -0.954 eV per atom
Total magnetic moment   0.003 μB per cell
Raw total energy   -72.5 eV per cell

Unit cell a=4.295 b=7.469 c=13.751 alpha=104.79 beta=90.00 gamma=106.71
Sites, in units of the cell vectors:
Te  0.500  0.000  0.500
Te  0.253  0.506  0.664
Sb  0.978  0.956  0.217
Th  0.311  0.622  0.191
Th  0.689  0.378  0.809
Te  0.667  0.334  0.048
Te  0.333  0.666  0.952
Th  0.131  0.262  0.431
Te  0.747  0.494  0.336
Th  0.869  0.738  0.569
Sb  0.022  0.044  0.783
Th  0.000  0.000  0.000



12.
DFT (PBE) results for a relaxed Th6SbTe5 crystal.

Output
Energy relative to the elements, uncorrected   -1.001 eV per atom
Total magnetic moment   0.000 μB per cell
Raw total energy   -76.4 eV per cell

Unit cell a=7.536 b=7.978 c=7.796 alpha=59.22 beta=80.22 gamma=70.61
Sites, in units of the cell vectors:
Te  0.000  0.666  0.667
Th  0.751  0.083  0.332
Th  0.249  0.585  0.332
Th  0.249  0.917  0.668
Te  0.500  0.500  0.000
Th  0.751  0.415  0.668
Th  0.750  0.752  0.000
Te  0.500  0.833  0.333
Th  0.250  0.248  0.000
Te  0.500  0.167  0.667
Te  0.000  0.334  0.333
Sb  0.000  0.000  0.000



13.
DFT (PBE) results for a relaxed Th4Sb3Te crystal.

Output
Energy relative to the elements, uncorrected   -0.930 eV per atom
Total magnetic moment   0.000 μB per cell
Raw total energy   -52.6 eV per cell

Unit cell a=6.363 b=6.363 c=7.792 alpha=114.10 beta=114.10 gamma=90.00
Sites, in units of the cell vectors:
Th  0.500  0.000  0.000
Th  0.000  0.500  0.000
Sb  0.750  0.250  0.500
Sb  0.500  0.500  0.000
Te  0.000  0.000  0.000
Sb  0.250  0.750  0.500
Th  0.748  0.748  0.496
Th  0.252  0.252  0.504



14.
DFT (PBE) results for a relaxed Th4SbTe5 crystal.

Output
Energy relative to the elements, uncorrected   -1.093 eV per atom
Total magnetic moment   0.000 μB per cell
Raw total energy   -60.4 eV per cell

Unit cell a=4.445 b=8.962 c=9.948 alpha=102.28 beta=102.91 gamma=90.00
Sites, in units of the cell vectors:
Te  0.500  0.500  0.000
Sb  0.500  0.000  0.000
Th  0.665  0.086  0.331
Te  0.167  0.333  0.334
Th  0.335  0.914  0.669
Te  0.833  0.667  0.666
Te  0.168  0.825  0.336
Th  0.001  0.247  0.002
Te  0.832  0.175  0.664
Th  0.999  0.753  0.998



15.
DFT (PBE) results for a relaxed Th4SbTe3 crystal.

Output
Energy relative to the elements, uncorrected   -0.995 eV per atom
Total magnetic moment   0.000 μB per cell
Raw total energy   -51.2 eV per cell

Unit cell a=4.592 b=7.690 c=7.690 alpha=110.82 beta=90.00 gamma=90.00
Sites, in units of the cell vectors:
Th  0.500  0.249  0.751
Te  0.500  0.500  0.500
Th  0.000  0.249  0.249
Sb  0.500  0.000  0.000
Te  0.000  0.500  0.000
Th  0.500  0.751  0.249
Th  0.000  0.751  0.751
Te  0.000  0.000  0.500



16.
DFT (PBE) results for a relaxed Th5SbTe5 crystal.

Output
Energy relative to the elements, uncorrected   -1.077 eV per atom
Total magnetic moment   0.000 μB per cell
Raw total energy   -68.8 eV per cell

Unit cell a=6.294 b=7.671 c=8.835 alpha=106.61 beta=90.00 gamma=114.22
Sites, in units of the cell vectors:
Te  0.000  0.000  0.500
Te  0.347  0.694  0.193
Te  0.653  0.306  0.807
Th  0.175  0.349  0.844
Sb  0.000  0.000  0.000
Te  0.342  0.685  0.655
Th  0.835  0.669  0.671
Te  0.658  0.315  0.345
Th  0.165  0.331  0.329
Th  0.825  0.651  0.156
Th  0.500  0.000  0.000



17.
DFT (PBE) results for a relaxed Th4SbTe3 crystal.

Output
Energy relative to the elements, uncorrected   -1.039 eV per atom
Total magnetic moment   0.000 μB per cell
Raw total energy   -51.5 eV per cell

Unit cell a=3.856 b=3.856 c=15.415 alpha=90.00 beta=90.00 gamma=90.00
Sites, in units of the cell vectors:
Th  0.000  0.000  0.626
Sb  0.500  0.500  0.000
Te  0.500  0.500  0.500
Th  0.000  0.000  0.879
Th  0.000  0.000  0.121
Te  0.500  0.500  0.749
Te  0.500  0.500  0.251
Th  0.000  0.000  0.374



18.
DFT (PBE) results for a relaxed Th3SbTe crystal.

Output
Energy relative to the elements, uncorrected   -0.437 eV per atom
Total magnetic moment   0.000 μB per cell
Raw total energy   -63.4 eV per cell

Unit cell a=6.995 b=6.993 c=9.159 alpha=67.63 beta=67.60 gamma=59.89
Sites, in units of the cell vectors:
Th  0.901  0.249  0.247
Th  0.397  0.100  0.753
Te  0.171  0.171  0.487
Sb  0.329  0.330  0.012
Te  0.829  0.829  0.513
Th  0.603  0.900  0.247
Th  0.099  0.751  0.753
Th  0.749  0.399  0.752
Th  0.251  0.601  0.248
Sb  0.671  0.670  0.988



19.
DFT (PBE) results for a relaxed Th3SbTe2 crystal.

Output
Energy relative to the elements, uncorrected   -0.987 eV per atom
Total magnetic moment   0.000 μB per cell
Raw total energy   -38.6 eV per cell

Unit cell a=4.607 b=6.347 c=7.612 alpha=114.64 beta=107.61 gamma=90.00
Sites, in units of the cell vectors:
Te  0.833  0.833  0.167
Te  0.167  0.167  0.833
Sb  0.500  0.500  0.500
Th  0.500  0.000  0.500
Th  0.165  0.665  0.831
Th  0.835  0.335  0.169



20.
DFT (PBE) results for a relaxed Th2Sb2Te crystal.

Output
Energy relative to the elements, uncorrected   -0.753 eV per atom
Total magnetic moment   0.000 μB per cell
Raw total energy   -30.0 eV per cell

Unit cell a=4.533 b=6.247 c=7.985 alpha=113.03 beta=106.49 gamma=90.00
Sites, in units of the cell vectors:
Sb  0.321  0.321  0.642
Th  0.334  0.834  0.669
Sb  0.679  0.679  0.358
Te  0.000  0.000  0.000
Th  0.666  0.166  0.331



21.
DFT (PBE) results for a relaxed Th3SbTe2 crystal.

Output
Energy relative to the elements, uncorrected   -0.984 eV per atom
Total magnetic moment   0.000 μB per cell
Raw total energy   -77.1 eV per cell

Unit cell a=7.715 b=7.776 c=7.776 alpha=119.74 beta=99.64 gamma=99.64
Sites, in units of the cell vectors:
Te  0.750  0.751  0.249
Te  0.750  0.083  0.917
Sb  0.750  0.416  0.584
Th  0.501  0.337  0.171
Th  0.499  0.663  0.829
Th  0.500  0.000  0.500
Th  0.999  0.829  0.663
Te  0.250  0.917  0.083
Th  0.000  0.500  0.000
Sb  0.250  0.584  0.416
Th  0.001  0.171  0.337
Te  0.250  0.249  0.751



22.
DFT (PBE) results for a relaxed Th5Sb4Te crystal.

Output
Energy relative to the elements, uncorrected   -0.927 eV per atom
Total magnetic moment   0.000 μB per cell
Raw total energy   -66.0 eV per cell

Unit cell a=4.498 b=4.498 c=16.236 alpha=97.96 beta=97.96 gamma=90.00
Sites, in units of the cell vectors:
Sb  0.600  0.600  0.199
Sb  0.799  0.799  0.598
Th  0.101  0.101  0.202
Th  0.500  0.500  0.000
Sb  0.201  0.201  0.402
Sb  0.400  0.400  0.801
Te  0.000  0.000  0.000
Th  0.301  0.301  0.602
Th  0.899  0.899  0.798
Th  0.699  0.699  0.398



23.
DFT (PBE) results for a relaxed Th4Sb3Te crystal.

Output
Energy relative to the elements, uncorrected   -0.940 eV per atom
Total magnetic moment   0.000 μB per cell
Raw total energy   -52.7 eV per cell

Unit cell a=4.508 b=7.786 c=7.786 alpha=70.36 beta=90.03 gamma=90.03
Sites, in units of the cell vectors:
Sb  0.000  0.500  0.500
Th  0.000  0.247  0.253
Te  0.500  0.500  0.000
Th  0.000  0.753  0.747
Th  0.500  0.249  0.749
Sb  0.000  0.000  0.000
Th  0.500  0.751  0.251
Sb  0.500  0.000  0.500



24.
DFT (PBE) results for a relaxed Th5Sb4Te crystal.

Output
Energy relative to the elements, uncorrected   -0.933 eV per atom
Total magnetic moment   0.000 μB per cell
Raw total energy   -66.1 eV per cell

Unit cell a=6.366 b=7.793 c=7.793 alpha=80.40 beta=65.89 gamma=65.89
Sites, in units of the cell vectors:
Th  0.304  0.796  0.597
Te  0.002  0.000  0.000
Sb  0.602  0.599  0.198
Sb  0.800  0.802  0.599
Sb  0.202  0.198  0.401
Th  0.502  0.000  0.000
Sb  0.399  0.401  0.802
Th  0.901  0.403  0.796
Th  0.101  0.597  0.204
Th  0.697  0.204  0.403